[1]
First-principles (GGA-PBE) data for crystalline KCd4Sn3 at its relaxed geometry, as listed in Alexandria via LeMat-Bulk.

a = 5.059 Å, b = 5.059 Å, c = 9.216 Å
α = 90.00°, β = 90.00°, γ = 90.00°
Fractional positions:
Cd  0.000  0.500  0.180
Cd  0.500  0.000  0.180
Sn  0.500  0.500  0.345
Cd  0.500  0.000  0.820
Cd  0.000  0.500  0.820
K  0.000  0.000  0.500
Sn  0.000  0.000  0.000
Sn  0.500  0.500  0.655

## Properties
Its electronic total energy is -2.190 eV/atom. The space group is P4/mmm, No. 123. The size of the total moment comes out at 0.0 μB/f.u.


[2]
First-principles (GGA-PBE) data for crystalline AgSb2Br at its relaxed geometry, as listed in Alexandria via LeMat-Bulk.

a = 3.417 Å, b = 3.417 Å, c = 9.846 Å
α = 90.00°, β = 90.00°, γ = 118.54°
Fractional positions:
Sb  0.000  0.000  0.012
Ag  0.500  0.500  0.250
Sb  0.000  0.000  0.488
Br  0.500  0.500  0.750

## Properties
The value obtained for the energy above the most stable polymorph in this dataset is 1.06 eV per formula unit. The space group is Cmmm, No. 65. The size of the total moment comes out at 0.0 μB/f.u.


[3]
First-principles (GGA-PBE) data for crystalline NaGa4Ag2 at its relaxed geometry, as listed in Alexandria via LeMat-Bulk.

a = 5.457 Å, b = 5.635 Å, c = 5.630 Å
α = 75.01°, β = 62.50°, γ = 62.50°
Fractional positions:
Ag  0.807  0.441  0.442
Ag  0.193  0.559  0.558
Ga  0.659  0.620  0.005
Ga  0.658  0.005  0.621
Na  0.000  0.000  0.000
Ga  0.341  0.380  0.995
Ga  0.342  0.995  0.379

## Properties
Its electronic total energy is -2.787 eV/atom. The space group is C2/m, No. 12. The size of the total moment comes out at 0.0 μB/f.u.


[4]
First-principles (GGA-PBE) data for crystalline RhSe2Cl at its relaxed geometry, as listed in Alexandria via LeMat-Bulk.

a = 4.863 Å, b = 4.863 Å, c = 6.975 Å
α = 66.82°, β = 66.82°, γ = 41.39°
Fractional positions:
Se  0.736  0.736  0.884
Se  0.960  0.960  0.044
Rh  0.208  0.208  0.147
Cl  0.597  0.597  0.425

## Properties
The value obtained for the energy above the most stable polymorph in this dataset is 0.65 eV per formula unit. The space group is Cm, No. 8. The size of the total moment comes out at 0.0 μB/f.u.


[5]
First-principles (GGA-PBE) data for crystalline TlSbSe2 at its relaxed geometry, as listed in Alexandria via LeMat-Bulk.

a = 8.206 Å, b = 8.206 Å, c = 8.206 Å
α = 151.58°, β = 151.58°, γ = 40.62°
Fractional positions:
Tl  0.500  0.500  0.000
Se  0.250  0.750  0.500
Se  0.000  0.000  0.000
Sb  0.750  0.250  0.500

## Properties
Its electronic total energy is -3.326 eV/atom. The space group is I-4m2, No. 119. The size of the total moment comes out at 0.1 μB/f.u.


[6]
First-principles (GGA-PBE) data for crystalline Li3Ca2Zn2 at its relaxed geometry, as listed in Alexandria via LeMat-Bulk.

a = 4.264 Å, b = 5.875 Å, c = 7.683 Å
α = 112.49°, β = 90.00°, γ = 111.28°
Fractional positions:
Zn  0.142  0.283  0.201
Ca  0.862  0.724  0.221
Zn  0.858  0.717  0.799
Li  0.500  0.000  0.000
Ca  0.138  0.276  0.779
Li  0.356  0.711  0.563
Li  0.644  0.289  0.437

## Properties
The value obtained for the energy above the most stable polymorph in this dataset is 0.00 eV per formula unit. The space group is C2/m, No. 12. The size of the total moment comes out at 0.0 μB/f.u.


What did the fifth record say?
First-principles (GGA-PBE) data for crystalline TlSbSe2 at its relaxed geometry, as listed in Alexandria via LeMat-Bulk.

a = 8.206 Å, b = 8.206 Å, c = 8.206 Å
α = 151.58°, β = 151.58°, γ = 40.62°
Fractional positions:
Tl  0.500  0.500  0.000
Se  0.250  0.750  0.500
Se  0.000  0.000  0.000
Sb  0.750  0.250  0.500

## Properties
Its electronic total energy is -3.326 eV/atom. The space group is I-4m2, No. 119. The size of the total moment comes out at 0.1 μB/f.u.


Q: What is the size of the total moment in the fourth record?
A: 0.0 μB/f.u.